1.
# MnZnF3 (PBE with a Hubbard U, optimized geometry)
data_MnZnF3
_chemical_formula_sum 'Mn1 Zn1 F3'
_cell_length_a 4.190
_cell_length_b 4.190
_cell_length_c 4.190
_cell_angle_alpha 90.00
_cell_angle_beta 90.00
_cell_angle_gamma 90.00
_space_group_name_H-M_alt 'P m -3 m'
_space_group_IT_number 221
_space_group_name_Hall '-P 4 2 3'
loop_
_atom_site_label
_atom_site_fract_x
_atom_site_fract_y
_atom_site_fract_z
Mn1 0.000 0.000 0.000
Zn1 0.500 0.500 0.500
F1 0.000 0.000 0.500
# Total DFT energy (no corrections) (eV per formula unit): -23.72

---

2.
# MnZn3F9 (PBE with a Hubbard U, optimized geometry)
data_MnZn3F9
_chemical_formula_sum 'Mn2 Zn6 F18'
_cell_length_a 5.122
_cell_length_b 7.537
_cell_length_c 8.389
_cell_angle_alpha 90.00
_cell_angle_beta 94.92
_cell_angle_gamma 90.00
_space_group_name_H-M_alt 'P 1 21/m 1'
_space_group_IT_number 11
_space_group_name_Hall '-P 2yb'
loop_
_atom_site_label
_atom_site_fract_x
_atom_site_fract_y
_atom_site_fract_z
Mn1 0.017 0.250 0.421
Zn1 0.000 0.000 0.000
Zn2 0.468 0.014 0.692
F1 0.118 0.250 0.976
F2 0.131 0.580 0.761
F3 0.251 0.250 0.623
F4 0.257 0.575 0.474
F5 0.333 0.567 0.115
F6 0.345 0.250 0.322
# Total DFT energy (no corrections) (eV per formula unit): -56.88

---

3.
# MnZnF3 (PBE with a Hubbard U, optimized geometry)
data_MnZnF3
_chemical_formula_sum 'Mn1 Zn1 F3'
_cell_length_a 4.129
_cell_length_b 4.129
_cell_length_c 4.129
_cell_angle_alpha 90.00
_cell_angle_beta 90.00
_cell_angle_gamma 90.00
_space_group_name_H-M_alt 'P m -3 m'
_space_group_IT_number 221
_space_group_name_Hall '-P 4 2 3'
loop_
_atom_site_label
_atom_site_fract_x
_atom_site_fract_y
_atom_site_fract_z
Mn1 0.000 0.000 0.000
Zn1 0.500 0.500 0.500
F1 0.000 0.500 0.500
# Total DFT energy (no corrections) (eV per formula unit): -23.06

---

4.
# MnZnF2 (PBE with a Hubbard U, optimized geometry)
data_MnZnF2
_chemical_formula_sum 'Mn3 Zn3 F6'
_cell_length_a 3.0160
_cell_length_b 3.0160
_cell_length_c 22.8720
_cell_angle_alpha 90.00
_cell_angle_beta 90.00
_cell_angle_gamma 120.00
_space_group_name_H-M_alt 'R -3 m'
_space_group_IT_number 166
_space_group_name_Hall '-R 3 2"'
loop_
_atom_site_label
_atom_site_fract_x
_atom_site_fract_y
_atom_site_fract_z
Mn1 0.0000 0.0000 0.0000
Zn1 0.0000 0.0000 0.5000
F1 0.0000 0.0000 0.0827
# Total DFT energy (no corrections) (eV per formula unit): -17.47